[1]
Material: MgPt2Br
Method: DFT, GGA-PBE
State: optimized geometry

Cell and atoms, written as extended XYZ:
```
4
Lattice="1.442 0.832 10.467 -1.442 0.832 10.467 0.000 -1.665 10.467" Properties=species:S:1:pos:R:3 pbc="T T T"
Mg 0.000 0.000 0.000
Pt 0.000 0.000 8.399
Pt 0.000 0.000 23.002
Br 0.000 0.000 15.701
```

## Properties
* final energy: -15.93 eV for the cell shown
* raw formation energy: -0.144 eV per atom
* SG: R-3m, No. 166

=====

[2]
Material: MgPt2Br
Method: DFT, GGA-PBE
State: optimized geometry

Cell and atoms, written as extended XYZ:
```
4
Lattice="-1.769 2.080 5.717 1.769 -2.080 5.717 1.769 2.080 -5.717" Properties=species:S:1:pos:R:3 pbc="T T T"
Mg 0.000 0.000 0.000
Pt 1.769 0.000 4.170
Pt 0.000 0.000 6.118
Br 0.000 2.080 2.392
```

## Properties
* final energy: -15.83 eV for the cell shown
* raw formation energy: -0.121 eV per atom
* SG: Imm2, No. 44

=====

[3]
Material: MgPt3Br
Method: DFT, GGA-PBE
State: optimized geometry

Cell and atoms, written as extended XYZ:
```
5
Lattice="4.775 0.000 0.000 0.000 4.775 0.000 0.000 0.000 4.775" Properties=species:S:1:pos:R:3 pbc="T T T"
Mg 0.000 0.000 0.000
Pt 0.000 2.388 2.388
Pt 2.388 0.000 2.388
Pt 2.388 2.388 0.000
Br 2.388 2.388 2.388
```

## Properties
* final energy: -17.46 eV for the cell shown
* raw formation energy: 0.786 eV per atom
* SG: Pm-3m, No. 221

=====

[4]
Material: MgPtBr3
Method: DFT, GGA-PBE
State: optimized geometry

Cell and atoms, written as extended XYZ:
```
5
Lattice="5.171 0.000 0.000 0.000 5.171 0.000 0.000 0.000 5.171" Properties=species:S:1:pos:R:3 pbc="T T T"
Mg 0.000 0.000 0.000
Pt 2.585 2.585 2.585
Br 0.000 2.585 2.585
Br 2.585 0.000 2.585
Br 2.585 2.585 0.000
```

## Properties
* final energy: -13.47 eV for the cell shown
* raw formation energy: -0.162 eV per atom
* SG: Pm-3m, No. 221

=====

[5]
Material: MgPt2Br
Method: DFT, GGA-PBE
State: optimized geometry

Cell and atoms, written as extended XYZ:
```
4
Lattice="1.963 -1.970 0.000 1.963 1.970 0.000 0.000 0.000 10.466" Properties=species:S:1:pos:R:3 pbc="T T T"
Mg 0.000 0.000 0.000
Pt 1.963 0.000 1.915
Pt 1.963 0.000 8.551
Br 0.000 0.000 5.233
```

## Properties
* final energy: -15.63 eV for the cell shown
* raw formation energy: -0.069 eV per atom
* SG: Cmmm, No. 65

=====

[6]
Material: MgPt2Br
Method: DFT, GGA-PBE
State: optimized geometry

Cell and atoms, written as extended XYZ:
```
4
Lattice="-2.031 2.031 4.275 2.031 -2.031 4.275 2.031 2.031 -4.275" Properties=species:S:1:pos:R:3 pbc="T T T"
Mg 0.000 0.000 0.000
Pt 2.031 0.000 2.137
Pt 0.000 0.000 4.275
Br 0.000 2.031 2.137
```

## Properties
* final energy: -15.17 eV for the cell shown
* raw formation energy: 0.044 eV per atom
* SG: I-4m2, No. 119

=====

[7]
Material: MgPt3Br
Method: DFT, GGA-PBE
State: optimized geometry

Cell and atoms, written as extended XYZ:
```
5
Lattice="4.741 0.000 0.000 0.000 4.741 0.000 0.000 0.000 4.741" Properties=species:S:1:pos:R:3 pbc="T T T"
Mg 0.000 0.000 0.000
Pt 0.000 0.000 2.371
Pt 0.000 2.371 0.000
Pt 2.371 0.000 0.000
Br 2.371 2.371 2.371
```

## Properties
* final energy: -16.36 eV for the cell shown
* raw formation energy: 1.007 eV per atom
* SG: Pm-3m, No. 221

=====

[8]
Material: MgPt2Br
Method: DFT, GGA-PBE
State: optimized geometry

Cell and atoms, written as extended XYZ:
```
4
Lattice="0.000 3.304 3.304 3.304 0.000 3.304 3.304 3.304 0.000" Properties=species:S:1:pos:R:3 pbc="T T T"
Mg 0.000 0.000 0.000
Pt 3.304 3.304 3.304
Pt 4.955 4.955 4.955
Br 1.652 1.652 1.652
```

## Properties
* final energy: -15.11 eV for the cell shown
* raw formation energy: 0.060 eV per atom
* SG: F-43m, No. 216

=====

[9]
Material: MgPt2Br
Method: DFT, GGA-PBE
State: optimized geometry

Cell and atoms, written as extended XYZ:
```
4
Lattice="0.000 3.282 3.282 3.282 0.000 3.282 3.282 3.282 0.000" Properties=species:S:1:pos:R:3 pbc="T T T"
Mg 0.000 0.000 0.000
Pt 1.641 1.641 1.641
Pt 4.923 4.923 4.923
Br 3.282 3.282 3.282
```

## Properties
* final energy: -14.77 eV for the cell shown
* raw formation energy: 0.146 eV per atom
* SG: Fm-3m, No. 225

=====

[10]
Material: MgPt2Br
Method: DFT, GGA-PBE
State: optimized geometry

Cell and atoms, written as extended XYZ:
```
4
Lattice="1.592 0.919 8.463 -1.592 0.919 8.463 0.000 -1.839 8.463" Properties=species:S:1:pos:R:3 pbc="T T T"
Mg 0.000 0.000 0.000
Pt 0.000 0.000 6.483
Pt 0.000 0.000 12.884
Br 0.000 0.000 18.820
```

## Properties
* final energy: -15.55 eV for the cell shown
* raw formation energy: -0.050 eV per atom
* SG: R3m, No. 160

=====

[11]
Material: MgPt2Br
Method: DFT, GGA-PBE
State: optimized geometry

Cell and atoms, written as extended XYZ:
```
4
Lattice="2.950 0.000 0.000 0.000 3.760 0.000 0.000 0.000 6.659" Properties=species:S:1:pos:R:3 pbc="T T T"
Mg 0.000 0.000 0.000
Pt 1.475 1.880 1.341
Pt 1.475 1.880 5.318
Br 0.000 0.000 3.329
```

## Properties
* final energy: -15.74 eV for the cell shown
* raw formation energy: -0.098 eV per atom
* SG: Pmmm, No. 47

=====

[12]
Material: Rb2MgPtBr6
Method: DFT, GGA-PBE
State: optimized geometry

Cell and atoms, written as extended XYZ:
```
10
Lattice="-3.771 3.771 5.956 3.771 -3.771 5.956 3.771 3.771 -5.956" Properties=species:S:1:pos:R:3 pbc="T T T"
Rb 3.771 0.000 2.978
Rb 0.000 3.771 2.978
Mg 0.000 0.000 0.000
Pt 0.000 0.000 5.956
Br 0.000 0.000 2.485
Br 2.026 2.026 0.000
Br 1.745 -1.745 5.956
Br -1.745 1.745 5.956
Br 1.745 1.745 5.956
Br 0.000 0.000 9.428
```

## Properties
* final energy: -30.79 eV for the cell shown
* raw formation energy: -1.118 eV per atom
* SG: I4/mmm, No. 139

=====

Number 4 is which compound?
MgPtBr3